No. 1
Below is a relaxed La2Pr2Y crystal, with properties calculated at the PBE-GGA level.

Values from the calculation:
Magnetization   0.00 μB/cell
Energy of formation   10.9 kJ/mol of atoms

Cell: 5.982 7.127 9.641 Å, 111.69 108.07 90.00°
Positions (direct):
1 La 0.616 0.366 0.731
2 Y 0.389 0.139 0.278
3 La 0.991 0.741 0.483
4 Pr 0.806 0.301 0.113
5 Pr 0.194 0.188 0.887
6 Pr 0.194 0.699 0.887
7 La 0.384 0.634 0.269
8 La 0.009 0.259 0.517
9 Y 0.611 0.861 0.722
10 Pr 0.806 0.812 0.113

***

No. 2
Below is a relaxed La10PrY4 crystal, with properties calculated at the PBE-GGA level.

Values from the calculation:
Magnetization   0.00 μB/cell
Energy of formation   19.2 kJ/mol of atoms

Cell: 8.027 9.141 9.141 Å, 78.88 63.96 63.96°
Positions (direct):
1 La 0.490 0.217 0.217
2 La 0.707 0.217 0.783
3 La 0.293 0.783 0.217
4 Y 0.228 0.543 0.000
5 La 0.250 0.500 0.500
6 Y 0.772 0.000 0.457
7 La 0.510 0.783 0.783
8 Y 0.228 0.000 0.543
9 La 0.707 0.783 0.217
10 La 0.075 0.217 0.217
11 La 0.293 0.217 0.783
12 La 0.750 0.500 0.500
13 Pr 0.000 0.000 0.000
14 Y 0.772 0.457 0.000
15 La 0.925 0.783 0.783

***

No. 3
Below is a relaxed La3PrY2 crystal, with properties calculated at the PBE-GGA level.

Values from the calculation:
Magnetization   0.00 μB/cell
Energy of formation   24.1 kJ/mol of atoms

Cell: 3.477 6.727 18.578 Å, 90.00 90.00 90.00°
Positions (direct):
1 La 0.000 0.000 0.000
2 Y 0.500 0.781 0.148
3 La 0.500 0.279 0.187
4 Y 0.000 0.719 0.648
5 Y 0.500 0.219 0.852
6 La 0.500 0.721 0.813
7 La 0.000 0.779 0.313
8 La 0.000 0.221 0.687
9 Y 0.000 0.281 0.352
10 Pr 0.500 0.500 0.000
11 Pr 0.000 0.000 0.500
12 La 0.500 0.500 0.500

***

No. 4
Below is a relaxed La2Pr12Y5 crystal, with properties calculated at the PBE-GGA level.

Values from the calculation:
Magnetization   0.00 μB/cell
Energy of formation   19.0 kJ/mol of atoms

Cell: 7.054 13.281 8.567 Å, 115.37 90.00 105.40°
Positions (direct):
1 Pr 0.401 0.304 0.111
2 La 0.760 0.000 0.000
3 Pr 0.944 0.385 0.769
4 Pr 0.894 0.787 0.621
5 Pr 0.404 0.807 0.623
6 Y 0.253 0.507 0.503
7 Pr 0.599 0.696 0.889
8 Y 0.000 0.000 0.500
9 La 0.240 0.000 0.000
10 Pr 0.559 0.615 0.231
11 Y 0.747 0.493 0.497
12 Pr 0.056 0.615 0.231
13 Pr 0.903 0.304 0.111
14 Pr 0.106 0.213 0.379
15 Pr 0.441 0.385 0.769
16 Y 0.553 0.107 0.713
17 Pr 0.596 0.193 0.377
18 Y 0.447 0.893 0.287
19 Pr 0.097 0.696 0.889

***

No. 5
Below is a relaxed La2Pr4Y5 crystal, with properties calculated at the PBE-GGA level.

Values from the calculation:
Magnetization   0.00 μB/cell
Energy of formation   7.1 kJ/mol of atoms

Cell: 3.589 9.002 20.459 Å, 144.12 95.03 90.00°
Positions (direct):
1 Y 0.763 0.882 0.527
2 Pr 0.600 0.692 0.201
3 Pr 0.963 0.201 0.927
4 Y 0.500 0.000 0.000
5 La 0.188 0.318 0.376
6 Y 0.869 0.534 0.739
7 Y 0.237 0.118 0.473
8 Y 0.131 0.466 0.261
9 La 0.812 0.682 0.624
10 Pr 0.400 0.308 0.799
11 Pr 0.037 0.799 0.073

***

No. 6
Below is a relaxed La2Pr2Y7 crystal, with properties calculated at the PBE-GGA level.

Values from the calculation:
Magnetization   0.00 μB/cell
Energy of formation   14.7 kJ/mol of atoms

Cell: 6.158 8.791 8.790 Å, 84.13 63.82 63.82°
Positions (direct):
1 Y 0.173 0.066 0.592
2 La 0.500 0.786 0.214
3 Y 0.827 0.408 0.934
4 Pr 0.115 0.236 0.236
5 Y 0.000 0.000 0.000
6 Y 0.380 0.406 0.406
7 Y 0.173 0.592 0.066
8 Pr 0.885 0.764 0.764
9 Y 0.827 0.934 0.408
10 Y 0.620 0.594 0.594
11 La 0.500 0.214 0.786

***

No. 7
Below is a relaxed La8Pr3Y crystal, with properties calculated at the PBE-GGA level.

Values from the calculation:
Magnetization   0.00 μB/cell
Energy of formation   3.2 kJ/mol of atoms

Cell: 8.866 8.875 8.849 Å, 94.23 136.86 101.33°
Positions (direct):
1 La 0.834 0.082 0.250
2 La 0.835 0.585 0.753
3 La 0.164 0.915 0.752
4 La 0.499 0.668 0.830
5 La 0.500 0.168 0.331
6 Pr 0.504 0.750 0.257
7 Pr 0.505 0.247 0.754
8 Pr 0.831 0.501 0.329
9 La 0.164 0.334 0.830
10 Y 0.833 0.001 0.831
11 La 0.167 0.835 0.332
12 La 0.164 0.412 0.250

***

No. 8
Below is a relaxed La12PrY5 crystal, with properties calculated at the PBE-GGA level.

Values from the calculation:
Magnetization   0.00 μB/cell
Energy of formation   2.2 kJ/mol of atoms

Cell: 15.494 11.046 5.252 Å, 90.00 90.00 45.47°
Positions (direct):
1 Y 0.333 0.335 0.000
2 Y 0.167 0.666 0.500
3 La 0.501 0.666 0.500
4 La 0.167 0.334 0.500
5 La 0.335 0.000 0.000
6 Y 0.500 0.000 0.500
7 Y 0.667 0.665 0.000
8 La 0.499 0.334 0.500
9 La 0.833 0.666 0.500
10 La 0.665 0.000 0.000
11 La 0.667 0.333 0.000
12 La 0.168 0.000 0.500
13 La 0.333 0.667 0.000
14 La 0.000 0.333 0.000
15 Pr 0.000 0.000 0.000
16 Y 0.833 0.334 0.500
17 La 0.000 0.667 0.000
18 La 0.832 0.000 0.500

***

No. 9
Below is a relaxed La3Pr2Y4 crystal, with properties calculated at the PBE-GGA level.

Values from the calculation:
Magnetization   0.00 μB/cell
Energy of formation   8.6 kJ/mol of atoms

Cell: 6.249 11.451 11.451 Å, 63.23 63.40 63.40°
Positions (direct):
1 La 0.250 0.621 0.379
2 Y 0.923 0.173 0.941
3 Y 0.094 0.156 0.388
4 Y 0.594 0.388 0.156
5 La 0.266 0.305 0.021
6 Y 0.423 0.941 0.173
7 Y 0.406 0.612 0.844
8 Pr 0.932 0.521 0.252
9 Pr 0.068 0.479 0.748
10 La 0.750 0.379 0.621
11 La 0.766 0.021 0.305
12 La 0.234 0.979 0.695
13 Y 0.906 0.844 0.612
14 Y 0.077 0.827 0.059
15 Pr 0.432 0.252 0.521
16 Pr 0.568 0.748 0.479
17 Y 0.577 0.059 0.827
18 La 0.734 0.695 0.979

***

No. 10
Below is a relaxed LaPr2Y7 crystal, with properties calculated at the PBE-GGA level.

Values from the calculation:
Magnetization   0.00 μB/cell
Energy of formation   64.8 kJ/mol of atoms

Cell: 5.558 9.378 9.378 Å, 124.39 90.00 90.00°
Positions (direct):
1 Pr 0.500 0.702 0.298
2 Y 0.000 0.217 0.783
3 Y 0.500 0.064 0.292
4 Y 0.500 0.500 0.500
5 La 0.000 0.000 0.000
6 Y 0.000 0.783 0.217
7 Pr 0.500 0.298 0.702
8 Y 0.500 0.292 0.064
9 Y 0.500 0.708 0.936
10 Y 0.500 0.936 0.708

***

No. 11
Below is a relaxed La2Pr6Y5 crystal, with properties calculated at the PBE-GGA level.

Values from the calculation:
Magnetization   0.00 μB/cell
Energy of formation   9.4 kJ/mol of atoms

Cell: 3.703 11.963 20.857 Å, 90.00 90.00 90.00°
Positions (direct):
1 Pr 0.000 0.562 0.425
2 Y 0.500 0.801 0.058
3 Y 0.500 0.591 0.280
4 Pr 0.000 0.938 0.925
5 Y 0.500 0.409 0.720
6 Y 0.500 0.500 0.000
7 Pr 0.000 0.062 0.075
8 La 0.000 0.170 0.782
9 Y 0.500 0.699 0.558
10 Pr 0.000 0.423 0.863
11 Pr 0.000 0.438 0.575
12 Pr 0.000 0.923 0.637
13 Y 0.500 0.909 0.780
14 Pr 0.000 0.577 0.137
15 La 0.000 0.830 0.218
16 Y 0.500 0.199 0.942
17 La 0.000 0.330 0.282
18 La 0.000 0.670 0.718
19 Pr 0.500 0.678 0.875
20 Pr 0.500 0.322 0.125
21 Pr 0.500 0.178 0.625
22 Pr 0.000 0.077 0.363
23 Y 0.500 0.000 0.500
24 Y 0.500 0.091 0.220
25 Pr 0.500 0.822 0.375
26 Y 0.500 0.301 0.442

***

No. 12
Below is a relaxed La4Pr2Y3 crystal, with properties calculated at the PBE-GGA level.

Values from the calculation:
Magnetization   0.00 μB/cell
Energy of formation   8.2 kJ/mol of atoms

Cell: 3.716 6.848 14.915 Å, 64.17 90.00 105.75°
Positions (direct):
1 La 0.353 0.705 0.873
2 La 0.114 0.228 0.605
3 Pr 0.339 0.677 0.209
4 Y 0.000 0.000 0.000
5 Y 0.616 0.232 0.389
6 Pr 0.661 0.323 0.791
7 La 0.647 0.295 0.127
8 Y 0.384 0.768 0.611
9 La 0.886 0.772 0.395